Entry from Alexandria via LeMat-Bulk: a geometry-optimized TaTePdF2 structure (GGA-PBE).

Geometry as extended XYZ:
```
5
Lattice="4.228 0.000 0.000 0.000 4.228 0.000 0.000 0.000 5.477" Properties=species:S:1:pos:R:3 pbc="T T T"
Ta 0.000 0.000 0.000
Te 2.114 2.114 2.738
Pd 2.114 2.114 0.000
F 0.000 2.114 2.738
F 2.114 0.000 2.738
```

- formation energy from raw total energies (eV/atom) = 0.03
- calculated density (g cm⁻³) = 7.684
- volume (Å³/cell) = 97.9
- size of the total moment (μB per cell) = 2.54

Entry from Alexandria via LeMat-Bulk: a geometry-optimized Tb3Th3Ga4 structure (GGA-PBE).

Geometry as extended XYZ:
```
10
Lattice="4.242 0.000 0.000 0.000 5.508 5.589 0.000 -5.508 5.589" Properties=species:S:1:pos:R:3 pbc="T T T"
Tb 0.000 0.000 0.000
Tb 0.000 -1.942 7.626
Tb 0.000 1.942 7.626
Th 0.000 0.000 3.969
Th 2.121 -2.689 4.780
Th 2.121 2.689 4.780
Ga 2.121 -1.307 1.950
Ga 2.121 1.307 1.950
Ga 2.121 0.000 6.363
Ga 2.121 0.000 8.959
```

- calculated density (g cm⁻³) = 9.231
- formation energy from the elements (eV per atom) = -0.439
- volume (Å³/cell) = 261.2
- size of the total moment (μB per cell) = 0.00

Entry from Alexandria via LeMat-Bulk: a geometry-optimized ZnCdRu2 structure (GGA-PBE).

Geometry as extended XYZ:
```
4
Lattice="-1.470 2.310 4.600 1.470 -2.310 4.600 1.470 2.310 -4.600" Properties=species:S:1:pos:R:3 pbc="T T T"
Zn 0.000 0.000 0.000
Cd 0.000 2.310 2.194
Ru 1.470 0.000 2.216
Ru 0.000 0.000 4.329
```

- calculated density (g cm⁻³) = 10.101
- formation energy from the elements (eV per atom) = 0.289
- volume (Å³/cell) = 62.5
- size of the total moment (μB per cell) = 0.30